Entry 1:
# CaLaH

A geometry-optimized CaLaH structure (PBE, Alexandria).

Cell and atoms, written as extended XYZ:
```
3
Lattice="3.889 0.000 0.000 -1.944 3.368 0.000 0.000 0.000 6.374" Properties=species:S:1:pos:R:3 pbc="T T T"
Ca 0.000 0.000 0.000
La 0.000 2.245 3.331
H 0.000 0.000 4.048
```

Summary:
**Offset from the most stable computed form**: 0 meV per atom
**V**: 83.47 Å³/cell
**ρ**: 3.58 Mg/m³
**D(E_F)**: 2.3 states/eV per cell
**Spin magnetization**: 0.2 μB per formula unit

Entry 2:
# AsRuW2

A geometry-optimized AsRuW2 structure (PBE, Alexandria).

Cell and atoms, written as extended XYZ:
```
8
Lattice="3.769 0.000 0.000 0.000 3.769 0.000 0.000 0.000 8.571" Properties=species:S:1:pos:R:3 pbc="T T T"
As 0.000 0.000 0.000
As 1.884 1.884 4.285
Ru 0.000 0.000 4.285
Ru 1.884 1.884 0.000
W 0.000 1.884 2.143
W 0.000 1.884 6.428
W 1.884 0.000 2.143
W 1.884 0.000 6.428
```

Summary:
**V**: 121.74 Å³/cell
**ρ**: 14.83 Mg/m³
**D(E_F)**: 4.4 states/eV per cell
**Formation enthalpy at 0 K**: 287.0 meV/atom
**Spin magnetization**: 0.0 μB per formula unit

Entry 3:
# OsBr6F2

A geometry-optimized OsBr6F2 structure (PBE, Alexandria).

Cell and atoms, written as extended XYZ:
```
18
Lattice="7.797 0.000 0.000 0.000 7.571 0.000 -3.480 0.000 9.614" Properties=species:S:1:pos:R:3 pbc="T T T"
Os 0.000 0.000 0.000
Os -1.740 3.785 4.807
Br -0.557 1.605 5.154
Br 1.184 2.180 0.347
Br 0.346 5.193 4.942
Br 2.086 6.163 0.134
Br 0.914 1.491 7.240
Br 2.654 2.295 2.433
Br 1.663 5.276 7.182
Br 3.403 6.080 2.374
Br 2.231 1.407 9.480
Br 3.971 2.378 4.673
Br 3.133 5.391 9.267
Br 4.874 5.965 4.460
F -2.063 3.964 6.688
F -0.323 7.392 1.881
F 4.640 0.179 7.734
F 6.380 3.607 2.927
```

Summary:
**Raw formation energy**: -4.3 eV/f.u.
**V**: 567.56 Å³/cell
**ρ**: 4.14 Mg/m³
**Spin magnetization**: 2.1 μB per formula unit

Entry 4:
# TbPrAlRh

A geometry-optimized TbPrAlRh structure (PBE, Alexandria).

Cell and atoms, written as extended XYZ:
```
16
Lattice="7.221 0.000 0.000 0.000 7.221 0.000 0.000 0.000 7.221" Properties=species:S:1:pos:R:3 pbc="T T T"
Tb 0.000 0.000 0.000
Tb 0.000 3.610 3.610
Tb 3.610 0.000 3.610
Tb 3.610 3.610 0.000
Pr 0.000 0.000 3.610
Pr 0.000 3.610 0.000
Pr 3.610 0.000 0.000
Pr 3.610 3.610 3.610
Al 1.805 1.805 1.805
Al 1.805 5.416 5.416
Al 5.416 1.805 5.416
Al 5.416 5.416 1.805
Rh 1.805 1.805 5.416
Rh 1.805 5.416 1.805
Rh 5.416 1.805 1.805
Rh 5.416 5.416 5.416
```

Summary:
**V**: 376.50 Å³/cell
**ρ**: 7.58 Mg/m³
**D(E_F)**: 15.1 states/eV per cell
**Formation enthalpy at 0 K**: -443.6 meV/atom
**Spin magnetization**: 0.0 μB per formula unit

Entry 5:
# LaB3Ir6

A geometry-optimized LaB3Ir6 structure (PBE, Alexandria).

Cell and atoms, written as extended XYZ:
```
10
Lattice="5.520 0.000 0.000 -0.006 5.699 0.000 -1.562 -2.849 4.686" Properties=species:S:1:pos:R:3 pbc="T T T"
La 0.000 0.000 0.000
B 1.824 2.852 2.514
B 4.128 -0.002 3.157
B 4.838 2.846 1.546
Ir 0.402 1.348 2.761
Ir 0.405 -1.350 2.768
Ir 1.207 2.854 0.357
Ir 2.335 -0.007 4.290
Ir 3.215 1.437 1.896
Ir 3.218 4.257 1.889
```

Summary:
**V**: 147.43 Å³/cell
**ρ**: 14.92 Mg/m³
**D(E_F)**: 6.5 states/eV per cell
**Formation enthalpy at 0 K**: -377.6 meV/atom
**Spin magnetization**: 0.0 μB per formula unit

Entry 6:
# YCdOs

A geometry-optimized YCdOs structure (PBE, Alexandria).

Cell and atoms, written as extended XYZ:
```
3
Lattice="4.839 0.000 0.000 -2.420 4.191 0.000 0.000 0.000 3.008" Properties=species:S:1:pos:R:3 pbc="T T T"
Y 0.000 0.000 0.000
Cd 0.000 2.794 1.368
Os 2.420 1.397 1.941
```

Summary:
**V**: 61.00 Å³/cell
**ρ**: 10.66 Mg/m³
**D(E_F)**: 2.9 states/eV per cell
**Formation enthalpy at 0 K**: 223.4 meV/atom
**Spin magnetization**: 0.0 μB per formula unit

Entry 7:
# PmTh2Nb

A geometry-optimized PmTh2Nb structure (PBE, Alexandria).

Cell and atoms, written as extended XYZ:
```
4
Lattice="3.662 0.000 0.000 0.000 3.662 0.000 0.000 0.000 8.578" Properties=species:S:1:pos:R:3 pbc="T T T"
Pm 0.000 0.000 0.000
Th 1.831 1.831 2.458
Th 1.831 1.831 6.120
Nb 0.000 0.000 4.289
```

Summary:
**Offset from the most stable computed form**: 0 meV per atom
**V**: 115.04 Å³/cell
**ρ**: 10.13 Mg/m³
**D(E_F)**: 5.5 states/eV per cell
**Formation enthalpy at 0 K**: 174.5 meV/atom
**Spin magnetization**: 0.0 μB per formula unit

Entry 8:
# KNbPH2

A geometry-optimized KNbPH2 structure (PBE, Alexandria).

Cell and atoms, written as extended XYZ:
```
5
Lattice="4.228 0.000 0.000 0.000 4.228 0.000 0.000 0.000 4.807" Properties=species:S:1:pos:R:3 pbc="T T T"
K 0.000 0.000 0.000
Nb 2.114 2.114 2.403
P 2.114 2.114 0.000
H 0.000 2.114 2.403
H 2.114 0.000 2.403
```

Summary:
**V**: 85.92 Å³/cell
**ρ**: 3.19 Mg/m³
**Uncorrected energy**: -4.6267 eV per atom
**D(E_F)**: 1.7 states/eV per cell
**Spin magnetization**: 1.0 μB per formula unit

Which value of spin magnetization does entry 6 give? 0.0 μB per formula unit

What did the third record say?
# OsBr6F2

A geometry-optimized OsBr6F2 structure (PBE, Alexandria).

Cell and atoms, written as extended XYZ:
```
18
Lattice="7.797 0.000 0.000 0.000 7.571 0.000 -3.480 0.000 9.614" Properties=species:S:1:pos:R:3 pbc="T T T"
Os 0.000 0.000 0.000
Os -1.740 3.785 4.807
Br -0.557 1.605 5.154
Br 1.184 2.180 0.347
Br 0.346 5.193 4.942
Br 2.086 6.163 0.134
Br 0.914 1.491 7.240
Br 2.654 2.295 2.433
Br 1.663 5.276 7.182
Br 3.403 6.080 2.374
Br 2.231 1.407 9.480
Br 3.971 2.378 4.673
Br 3.133 5.391 9.267
Br 4.874 5.965 4.460
F -2.063 3.964 6.688
F -0.323 7.392 1.881
F 4.640 0.179 7.734
F 6.380 3.607 2.927
```

Summary:
**Raw formation energy**: -4.3 eV/f.u.
**V**: 567.56 Å³/cell
**ρ**: 4.14 Mg/m³
**Spin magnetization**: 2.1 μB per formula unit

Look up the ρ of the eighth one. 3.19 Mg/m³

Which of these has the lowest V? YCdOs